The following is a PBE-GGA calculation of a relaxed Dy3ZnRu3 crystal, from Alexandria via LeMat-Bulk.

As for the space group: Cmcm. The formation energy comes out at -0.353 eV/atom.

a b c (Å): 4.2973 5.5246 13.2658
angles (deg): 90.00 90.00 112.89
Sites, in units of the cell vectors:
Ru: 0.0835 0.1671 0.4071
Ru: 0.7851 0.5702 0.7500
Dy: 0.7959 0.5917 0.3957
Ru: 0.0835 0.1671 0.0929
Dy: 0.2041 0.4083 0.8957
Dy: 0.4921 0.9843 0.7500
Dy: 0.5079 0.0157 0.2500
Ru: 0.2149 0.4298 0.2500
Dy: 0.2041 0.4083 0.6043
Zn: 0.5000 0.0000 0.0000
Ru: 0.9165 0.8329 0.5929
Ru: 0.9165 0.8329 0.9071
Dy: 0.7959 0.5917 0.1043
Zn: 0.5000 0.0000 0.5000

=====

The following is a PBE-GGA calculation of a relaxed CaLa2Cu crystal, from Alexandria via LeMat-Bulk.

As for the space group: P2_1/m. The value obtained for the energy above the most stable polymorph in this dataset is 6.3 meV/atom. The formation energy comes out at -0.025 eV/atom.

a b c (Å): 4.9731 6.5385 8.2734
angles (deg): 90.00 90.00 112.29
Sites, in units of the cell vectors:
Ca: 0.9507 0.9014 0.2500
La: 0.6479 0.2957 0.4631
Ca: 0.0493 0.0986 0.7500
Cu: 0.7899 0.5777 0.7500
La: 0.6479 0.2957 0.0369
La: 0.3521 0.7043 0.5369
La: 0.3521 0.7043 0.9631
Cu: 0.2101 0.4223 0.2500

=====

The following is a PBE-GGA calculation of a relaxed Ti7Cu2N2 crystal, from Alexandria via LeMat-Bulk.

As for the space group: Cmmm. The calculation puts the final energy at -7.744 eV/atom.

a b c (Å): 5.3495 5.5095 5.3495
angles (deg): 90.00 105.89 90.00
Sites, in units of the cell vectors:
Ti: 0.0000 0.2399 0.5000
N: 0.2673 0.0000 0.7327
N: 0.7327 0.0000 0.2673
Ti: 0.5000 0.7649 0.5000
Ti: 0.5000 0.2399 0.0000
Ti: 0.0000 0.0000 0.0000
Ti: 0.0000 0.7601 0.5000
Cu: 0.1719 0.5000 0.1719
Cu: 0.8281 0.5000 0.8281
Ti: 0.5000 0.2351 0.5000
Ti: 0.5000 0.7601 0.0000

=====

The following is a PBE-GGA calculation of a relaxed CaNi3Ir crystal, from Alexandria via LeMat-Bulk.

As for the space group: Pm-3m. The value obtained for the energy above the most stable polymorph in this dataset is 0.0 meV/atom. The formation energy comes out at 0.507 eV/atom.

a b c (Å): 4.6138 4.6138 4.6138
angles (deg): 90.00 90.00 90.00
Last column: magnetic moment on the atom in μB.
Sites, in units of the cell vectors:
Ni: 0.0000 0.0000 0.5000  1.02
Ir: 0.0000 0.0000 0.0000  0.68
Ni: 0.0000 0.5000 0.0000  0.71
Ca: 0.5000 0.5000 0.5000  -0.02
Ni: 0.5000 0.0000 0.0000  0.41

=====

The following is a PBE-GGA calculation of a relaxed LiYNi3 crystal, from Alexandria via LeMat-Bulk.

As for the space group: Pm-3m. The value obtained for the energy above the most stable polymorph in this dataset is 1000.7 meV/atom. The formation energy comes out at 1.090 eV/atom.

a b c (Å): 4.8045 4.8045 4.8045
angles (deg): 90.00 90.00 90.00
Sites, in units of the cell vectors:
Y: 0.0000 0.0000 0.0000
Ni: 0.0000 0.0000 0.5000
Li: 0.5000 0.5000 0.5000
Ni: 0.0000 0.5000 0.0000
Ni: 0.5000 0.0000 0.0000

=====

The following is a PBE-GGA calculation of a relaxed PRuW2 crystal, from Alexandria via LeMat-Bulk.

As for the space group: R-3m. The formation energy comes out at 0.171 eV/atom.

a b c (Å): 8.4306 8.4306 8.4306
angles (deg): 19.60 19.60 19.60
Sites, in units of the cell vectors:
Ru: 0.0000 0.0000 0.0000
P: 0.5000 0.5000 0.5000
W: 0.7553 0.7553 0.7553
W: 0.2447 0.2447 0.2447

=====

The following is a PBE-GGA calculation of a relaxed Cd2PbW crystal, from Alexandria via LeMat-Bulk.

As for the space group: P4mm. The formation energy comes out at 0.590 eV/atom.

a b c (Å): 2.9555 2.9555 10.8706
angles (deg): 90.00 90.00 90.00
Sites, in units of the cell vectors:
W: 0.5000 0.5000 0.7718
Cd: 0.0000 0.0000 0.9688
Pb: 0.0000 0.0000 0.5527
Cd: 0.5000 0.5000 0.2068

=====

The following is a PBE-GGA calculation of a relaxed BPd3I crystal, from Alexandria via LeMat-Bulk.

As for the space group: Pm-3m. The calculation puts the final energy at -4.698 eV/atom.

a b c (Å): 4.3439 4.3439 4.3439
angles (deg): 90.00 90.00 90.00
Sites, in units of the cell vectors:
Pd: 0.5000 0.0000 0.0000
Pd: 0.0000 0.5000 0.0000
B: 0.0000 0.0000 0.0000
I: 0.5000 0.5000 0.5000
Pd: 0.0000 0.0000 0.5000

=====

The following is a PBE-GGA calculation of a relaxed Cu2As2S5 crystal, from Alexandria via LeMat-Bulk.

As for the space group: C2/m. The value obtained for the energy above the most stable polymorph in this dataset is 0.0 meV/atom.

a b c (Å): 3.3811 6.2585 13.4708
angles (deg): 133.48 97.21 90.00
Sites, in units of the cell vectors:
As: 0.0933 0.8044 0.1865
S: 0.1510 0.6586 0.3020
S: 0.3459 0.8408 0.6918
As: 0.9067 0.1956 0.8135
Cu: 0.4149 0.6806 0.8298
S: 0.6541 0.1592 0.3082
S: 0.8490 0.3414 0.6980
Cu: 0.5851 0.3194 0.1702
S: 0.0000 0.0000 0.0000

=====

The following is a PBE-GGA calculation of a relaxed NbPSN2 crystal, from Alexandria via LeMat-Bulk.

As for the space group: P4/mmm. The value obtained for the energy above the most stable polymorph in this dataset is 5.3 meV/atom.

a b c (Å): 3.9663 3.9663 5.2802
angles (deg): 90.00 90.00 90.00
Last column: magnetic moment on the atom in μB.
Sites, in units of the cell vectors:
S: 0.0000 0.0000 0.5000  -0.03
N: 0.0000 0.5000 0.0000  -0.22
Nb: 0.0000 0.0000 0.0000  0.10
N: 0.5000 0.0000 0.0000  -0.22
P: 0.5000 0.5000 0.5000  0.45

=====

The following is a PBE-GGA calculation of a relaxed Mg2BiSe crystal, from Alexandria via LeMat-Bulk.

As for the space group: R3m. The value obtained for the energy above the most stable polymorph in this dataset is 62.6 meV/atom.

a b c (Å): 3.8760 3.8760 7.9350
angles (deg): 75.86 75.86 60.00
Sites, in units of the cell vectors:
Bi: 0.4992 0.4992 0.5024
Se: 0.6677 0.6677 0.9969
Mg: 0.2623 0.2623 0.2131
Mg: 0.0708 0.0708 0.7876

=====

The following is a PBE-GGA calculation of a relaxed Y4Ag2Ru crystal, from Alexandria via LeMat-Bulk.

As for the space group: R-3m. The formation energy comes out at -0.218 eV/atom.

a b c (Å): 5.0305 5.0305 8.6684
angles (deg): 73.13 73.13 60.00
Sites, in units of the cell vectors:
Y: 0.8794 0.8794 0.3617
Y: 0.3717 0.3717 0.8849
Y: 0.6283 0.6283 0.1151
Y: 0.1206 0.1206 0.6383
Ru: 0.0000 0.0000 0.0000
Ag: 0.7510 0.7510 0.7472
Ag: 0.2490 0.2490 0.2528

=====

The following is a PBE-GGA calculation of a relaxed Tb2GaBi crystal, from Alexandria via LeMat-Bulk.

As for the space group: P4/mmm. The value obtained for the energy above the most stable polymorph in this dataset is 143.2 meV/atom. The formation energy comes out at -0.558 eV/atom.

a b c (Å): 3.9542 3.9542 6.7681
angles (deg): 90.00 90.00 90.00
Sites, in units of the cell vectors:
Bi: 0.5000 0.5000 0.0000
Tb: 0.0000 0.0000 0.2564
Tb: 0.0000 0.0000 0.7436
Ga: 0.5000 0.5000 0.5000

=====

The following is a PBE-GGA calculation of a relaxed BeCdBIrAu crystal, from Alexandria via LeMat-Bulk.

As for the space group: Cm. The value obtained for the energy above the most stable polymorph in this dataset is 24.4 meV/atom. The formation energy comes out at -0.102 eV/atom.

a b c (Å): 7.4246 3.4897 5.9399
angles (deg): 90.00 105.15 90.00
Sites, in units of the cell vectors:
Cd: 0.1555 0.0000 0.5866
Cd: 0.1555 0.5000 0.0866
Ir: 0.8503 0.5000 0.6533
Au: 0.4453 0.0000 0.0151
B: 0.7944 0.0000 0.7995
Be: 0.6522 0.5000 0.9223
Ir: 0.8503 0.0000 0.1533
Au: 0.4453 0.5000 0.5151
B: 0.7944 0.5000 0.2995
Be: 0.6522 0.0000 0.4223

=====

The following is a PBE-GGA calculation of a relaxed Sm2Ni3Ge4Ir crystal, from Alexandria via LeMat-Bulk.

As for the space group: P-4m2. The formation energy comes out at -0.720 eV/atom.

a b c (Å): 4.1237 4.1237 9.9400
angles (deg): 90.00 90.00 90.00
Sites, in units of the cell vectors:
Sm: 0.0000 0.5000 0.7569
Ni: 0.0000 0.0000 0.5000
Ge: 0.0000 0.5000 0.3608
Ge: 0.5000 0.0000 0.6392
Ni: 0.5000 0.0000 0.8769
Ir: 0.5000 0.5000 0.5000
Ni: 0.0000 0.5000 0.1231
Sm: 0.5000 0.0000 0.2431
Ge: 0.5000 0.5000 0.0000
Ge: 0.0000 0.0000 0.0000

=====

The following is a PBE-GGA calculation of a relaxed RbCaAl2Br8 crystal, from Alexandria via LeMat-Bulk.

As for the space group: R-3. The calculation puts the final energy at -3.263 eV/atom.

a b c (Å): 7.0665 7.0665 10.8820
angles (deg): 71.05 71.05 60.00
Last column: magnetic moment on the atom in μB.
Sites, in units of the cell vectors:
Br: 0.7178 0.0590 0.8274  0.02
Ca: 0.0000 0.0000 0.0000  0.05
Br: 0.0590 0.3959 0.8274  0.02
Br: 0.1750 0.1750 0.4750  0.02
Br: 0.2822 0.9410 0.1726  0.02
Br: 0.6041 0.2822 0.1726  0.02
Al: 0.7471 0.7471 0.7586  0.07
Br: 0.3959 0.7178 0.8274  0.02
Br: 0.8250 0.8250 0.5250  0.02
Al: 0.2529 0.2529 0.2414  0.07
Br: 0.9410 0.6041 0.1726  0.02
Rb: 0.5000 0.5000 0.5000  0.00

=====

The following is a PBE-GGA calculation of a relaxed ThV2Tc crystal, from Alexandria via LeMat-Bulk.

As for the space group: R-3m. The value obtained for the energy above the most stable polymorph in this dataset is 15.1 meV/atom. The formation energy comes out at 0.143 eV/atom.

a b c (Å): 4.1732 4.1732 5.9243
angles (deg): 69.38 69.38 60.00
Sites, in units of the cell vectors:
Th: 0.5000 0.5000 0.5000
V: 0.3000 0.3000 0.1000
Tc: 0.0000 0.0000 0.0000
V: 0.7000 0.7000 0.9000

=====

The following is a PBE-GGA calculation of a relaxed As2PIr crystal, from Alexandria via LeMat-Bulk.

As for the space group: I4/mmm. The formation energy comes out at 0.106 eV/atom.

a b c (Å): 4.4355 4.4355 4.4341
angles (deg): 70.83 70.83 110.02
Sites, in units of the cell vectors:
As: 0.0000 0.0000 0.0000
As: 0.5000 0.5000 0.0000
Ir: 0.5000 0.0000 0.5000
P: 0.0000 0.5000 0.5000

=====

The following is a PBE-GGA calculation of a relaxed Mg2ZrRe crystal, from Alexandria via LeMat-Bulk.

As for the space group: Imm2. The value obtained for the energy above the most stable polymorph in this dataset is 132.5 meV/atom. The formation energy comes out at 0.234 eV/atom.

a b c (Å): 5.5668 5.5668 5.5668
angles (deg): 145.23 126.74 65.19
Last column: magnetic moment on the atom in μB.
Sites, in units of the cell vectors:
Zr: 0.2772 0.7772 0.5000  0.00
Re: 0.4944 0.4944 0.0000  0.15
Mg: 0.9953 0.9953 0.0000  0.00
Mg: 0.7331 0.2331 0.5000  0.00

=====

The following is a PBE-GGA calculation of a relaxed KNa2In2 crystal, from Alexandria via LeMat-Bulk.

As for the space group: I4/mmm. The value obtained for the energy above the most stable polymorph in this dataset is 65.5 meV/atom. The formation energy comes out at 0.001 eV/atom.

a b c (Å): 4.9608 4.9608 8.1283
angles (deg): 72.23 72.23 90.00
Sites, in units of the cell vectors:
Na: 0.7500 0.2500 0.5000
K: 0.0000 0.0000 0.0000
Na: 0.2500 0.7500 0.5000
In: 0.5990 0.5990 0.8021
In: 0.4010 0.4010 0.1979

=====

The following is a PBE-GGA calculation of a relaxed Pu2GaGe4Pd3 crystal, from Alexandria via LeMat-Bulk.

As for the space group: P-4m2. The formation energy comes out at -0.513 eV/atom.

a b c (Å): 4.2304 4.2304 10.7134
angles (deg): 90.00 90.00 90.00
Last column: magnetic moment on the atom in μB.
Sites, in units of the cell vectors:
Pd: 0.5000 0.0000 0.8700  -0.02
Ge: 0.5000 0.5000 0.0000  -0.04
Ge: 0.5000 0.0000 0.6421  -0.04
Pu: 0.0000 0.5000 0.7517  5.25
Ge: 0.0000 0.5000 0.3579  -0.04
Ga: 0.5000 0.5000 0.5000  -0.03
Pd: 0.0000 0.5000 0.1300  -0.02
Pu: 0.5000 0.0000 0.2483  5.25
Pd: 0.0000 0.0000 0.5000  -0.05
Ge: 0.0000 0.0000 0.0000  -0.03

=====

The following is a PBE-GGA calculation of a relaxed SrCa2Cl crystal, from Alexandria via LeMat-Bulk.

As for the space group: Fm-3m. The value obtained for the energy above the most stable polymorph in this dataset is 619.8 meV/atom.

a b c (Å): 6.2518 6.2518 6.2518
angles (deg): 60.00 60.00 60.00
Sites, in units of the cell vectors:
Cl: 0.0000 0.0000 0.0000
Ca: 0.7500 0.7500 0.7500
Ca: 0.2500 0.2500 0.2500
Sr: 0.5000 0.5000 0.5000

=====

The following is a PBE-GGA calculation of a relaxed MnNiHgRh crystal, from Alexandria via LeMat-Bulk.

As for the space group: F-43m. The formation energy comes out at 0.098 eV/atom.

a b c (Å): 4.4070 4.4070 4.4070
angles (deg): 60.00 60.00 60.00
Last column: magnetic moment on the atom in μB.
Sites, in units of the cell vectors:
Hg: 0.2500 0.2500 0.2500  -0.02
Rh: 0.5000 0.5000 0.5000  0.24
Mn: 0.7500 0.7500 0.7500  3.72
Ni: 0.0000 0.0000 0.0000  0.42

=====

The following is a PBE-GGA calculation of a relaxed KBS2 crystal, from Alexandria via LeMat-Bulk.

As for the space group: Pm. The calculation puts the final energy at -4.653 eV/atom.

a b c (Å): 3.2428 5.1381 7.1353
angles (deg): 110.14 90.01 90.00
Sites, in units of the cell vectors:
S: 0.0606 0.9225 0.8673
K: 0.5607 0.4694 0.9659
B: 0.0605 0.7879 0.6065
S: 0.5604 0.7054 0.4496